DFT (PBE) results for an optimized crystal structure of ZrAuI2N.

Properties
M_tot (Bohr magnetons per cell): 1.80
ΔE to the lowest computed polymorph (meV per atom): 845
Formation energy from raw total energies (kcal/mol of atoms): 21.2

abc: 6.0119 6.0119 3.7548
angles: 90.00 90.00 90.00
Closest atoms and distances in Å follow each position.
Space group P4/mmm (No. 123)
Unique sites:
Zr  0.0000  0.0000  0.0000 [1 per cell]  8 I 3.54, 2 Zr 3.75
Au  0.5000  0.5000  0.5000 [1 per cell]  2 N 1.88
I  0.0000  0.5000  0.5000 [2 per cell]  2 Au 3.01
N  0.5000  0.5000  0.0000 [1 per cell]  2 Au 1.88